A plane-wave DFT calculation with PBE-GGA was carried out for a relaxed LiEr3Ni8 crystal.

Output
Volume = 14.43 Å³ per atom
E_form = -5.0 eV/f.u.
Total DFT energy (no corrections) = -5.58 eV/atom

abc: 4.9662 4.9662 24.3268
angles: 90.00 90.00 120.00
With the nearest neighbours (Å) after each atom.
Space group R3m (No. 160, hexagonal axes)
Unique sites:
Li 0.0000 0.0000 0.0000 (multiplicity 3)  12 Ni 2.80-2.97, 4 Er 2.95-2.96
Er 0.0000 0.0000 0.3637 (multiplicity 3)  12 Ni 2.78-2.99, 3 Li 2.96
Er 0.0000 0.0000 0.4928 (multiplicity 3)  12 Ni 2.89-2.95, 4 Er 3.14
Er 0.0000 0.0000 0.8789 (multiplicity 3)  12 Ni 2.81-3.11, 1 Li 2.95, 3 Er 3.14
Ni 0.0000 0.0000 0.1826 (multiplicity 3)  6 Ni 2.49
Ni 0.0000 0.0000 0.6822 (multiplicity 3)  6 Ni 2.46-2.48
Ni 0.0009 0.5004 0.4322 (multiplicity 9)  6 Ni 2.48-2.49
Ni 0.1687 0.3374 0.2660 (multiplicity 9)  6 Ni 2.45-2.51